Entry 1:
MgSc2Cd: optimized geometry, GGA-PBE.

Lattice parameters (Å, degrees): 11.3695 11.3695 11.3695 16.16 16.16 16.16
Closest atoms and distances in Å follow each position.
Element x y z (fractional)
Mg (0.0000, 0.0000, 0.0000)  2 Sc 3.11, 6 Mg 3.20
Sc (0.0926, 0.0926, 0.0926)  3 Cd 3.10, 1 Mg 3.11, 6 Sc 3.20
Sc (0.9074, 0.9074, 0.9074)  3 Cd 3.10, 1 Mg 3.11, 6 Sc 3.20
Cd (0.5000, 0.5000, 0.5000)  6 Sc 3.10, 6 Cd 3.20

Output
- electronic total energy (eV per atom) = -3.6294
- Fermi-level density of states (states/eV per cell) = 4.80
- energy relative to the elements (meV/atom) = 164


Entry 2:
Mg8ScCd2: optimized geometry, GGA-PBE.

Lattice parameters (Å, degrees): 7.9613 7.9613 5.2158 100.73 100.73 59.86
Closest atoms and distances in Å follow each position.
Element x y z (fractional)
Mg (0.1138, 0.7447, 0.7173)  6 Mg 2.93-3.28, 1 Cd 2.94, 1 Sc 3.00
Mg (0.1470, 0.1470, 0.8192)  1 Cd 3.11, 8 Mg 3.13-3.28
Mg (0.2553, 0.8862, 0.2827)  6 Mg 2.93-3.28, 1 Cd 2.94, 1 Sc 3.00
Mg (0.2762, 0.2762, 0.3903)  2 Cd 2.93-2.96, 1 Sc 3.02, 4 Mg 3.13-3.15
Mg (0.7238, 0.7238, 0.6097)  2 Cd 2.93-2.96, 1 Sc 3.02, 4 Mg 3.13-3.15
Mg (0.7447, 0.1138, 0.7173)  6 Mg 2.93-3.28, 1 Cd 2.94, 1 Sc 3.00
Mg (0.8530, 0.8530, 0.1808)  1 Cd 3.11, 8 Mg 3.13-3.28
Mg (0.8862, 0.2553, 0.2827)  6 Mg 2.93-3.28, 1 Cd 2.94, 1 Sc 3.00
Sc (0.5000, 0.5000, 0.5000)  4 Cd 3.00-3.18, 6 Mg 3.00-3.02
Cd (0.3775, 0.3775, 0.9510)  5 Mg 2.93-3.11, 2 Sc 3.00-3.18
Cd (0.6225, 0.6225, 0.0490)  5 Mg 2.93-3.11, 2 Sc 3.00-3.18

Output
- electronic total energy (eV per atom) = -1.7960
- Fermi-level density of states (states/eV per cell) = 5.97
- energy relative to the elements (meV/atom) = 106


Entry 3:
MgSc8Cd2: optimized geometry, GGA-PBE.

Lattice parameters (Å, degrees): 8.2055 8.2055 5.1724 103.23 103.23 119.98
Closest atoms and distances in Å follow each position.
Element x y z (fractional)
Mg (0.0000, 0.0000, 0.0000)  8 Sc 3.02-3.30
Sc (0.1010, 0.3243, 0.6274)  2 Cd 2.97-3.16, 5 Sc 3.08-3.25, 1 Mg 3.30
Sc (0.2160, 0.7840, 0.0000)  2 Cd 2.88, 1 Mg 3.07
Sc (0.3243, 0.1010, 0.6274)  2 Cd 2.97-3.16, 5 Sc 3.08-3.25, 1 Mg 3.30
Sc (0.4083, 0.4083, 0.2000)  4 Sc 2.76-3.08, 1 Mg 3.02
Sc (0.5917, 0.5917, 0.8000)  4 Sc 2.76-3.08, 1 Mg 3.02
Sc (0.6757, 0.8990, 0.3726)  2 Cd 2.97-3.16, 5 Sc 3.08-3.25, 1 Mg 3.30
Sc (0.7840, 0.2160, 0.0000)  2 Cd 2.88, 1 Mg 3.07
Sc (0.8990, 0.6757, 0.3726)  2 Cd 2.97-3.16, 5 Sc 3.08-3.25, 1 Mg 3.30
Cd (0.3051, 0.6949, 0.5000)  8 Sc 2.88-3.16
Cd (0.6949, 0.3051, 0.5000)  8 Sc 2.88-3.16

Output
- electronic total energy (eV per atom) = -4.8638
- Fermi-level density of states (states/eV per cell) = 16.61
- energy relative to the elements (meV/atom) = 52


Entry 4:
MgSc12Cd3: optimized geometry, GGA-PBE.

Lattice parameters (Å, degrees): 4.5253 4.5253 18.1372 90.00 90.00 90.00
Closest atoms and distances in Å follow each position.
Element x y z (fractional)
Mg (0.0000, 0.0000, 0.0000)  12 Sc 3.20-3.24
Sc (0.0000, 0.5000, 0.1280)  8 Sc 3.19-3.24, 2 Cd 3.20, 2 Mg 3.24
Sc (0.0000, 0.5000, 0.3763)  8 Sc 3.19-3.20, 4 Cd 3.19
Sc (0.0000, 0.5000, 0.6237)  4 Cd 3.19, 8 Sc 3.19-3.20
Sc (0.0000, 0.5000, 0.8720)  8 Sc 3.19-3.24, 2 Cd 3.20, 2 Mg 3.24
Sc (0.5000, 0.0000, 0.1280)  8 Sc 3.19-3.24, 2 Cd 3.20, 2 Mg 3.24
Sc (0.5000, 0.0000, 0.3763)  8 Sc 3.19-3.20, 4 Cd 3.19
Sc (0.5000, 0.0000, 0.6237)  4 Cd 3.19, 8 Sc 3.19-3.20
Sc (0.5000, 0.0000, 0.8720)  8 Sc 3.19-3.24, 2 Cd 3.20, 2 Mg 3.24
Sc (0.5000, 0.5000, 0.0000)  4 Mg 3.20, 8 Sc 3.24
Sc (0.5000, 0.5000, 0.2520)  8 Sc 3.19, 4 Cd 3.20
Sc (0.5000, 0.5000, 0.5000)  8 Sc 3.19, 4 Cd 3.20
Sc (0.5000, 0.5000, 0.7480)  8 Sc 3.19, 4 Cd 3.20
Cd (0.0000, 0.0000, 0.2524)  12 Sc 3.19-3.20
Cd (0.0000, 0.0000, 0.5000)  12 Sc 3.19-3.20
Cd (0.0000, 0.0000, 0.7476)  12 Sc 3.19-3.20

Output
- electronic total energy (eV per atom) = -5.1006
- Fermi-level density of states (states/eV per cell) = 22.78
- energy relative to the elements (meV/atom) = -81


Entry 5:
Mg4Sc2Cd: optimized geometry, GGA-PBE.

Lattice parameters (Å, degrees): 9.8897 9.8897 9.8897 60.00 60.00 60.00
Closest atoms and distances in Å follow each position.
Element x y z (fractional)
Mg (0.0000, 0.0000, 0.0000)  6 Sc 3.06, 6 Mg 3.23
Mg (0.0000, 0.0000, 0.5000)  6 Sc 3.06, 6 Mg 3.23
Mg (0.0000, 0.5000, 0.0000)  6 Sc 3.06, 6 Mg 3.23
Mg (0.1490, 0.1490, 0.6010)  2 Cd 2.85, 2 Sc 3.13
Mg (0.1490, 0.6010, 0.1490)  2 Cd 2.85, 2 Sc 3.13
Mg (0.1490, 0.6010, 0.6010)  2 Cd 2.85, 2 Sc 3.13
Mg (0.3990, 0.3990, 0.8510)  2 Cd 2.85, 2 Sc 3.13
Mg (0.3990, 0.8510, 0.3990)  2 Cd 2.85, 2 Sc 3.13
Mg (0.3990, 0.8510, 0.8510)  2 Cd 2.85, 2 Sc 3.13
Mg (0.5000, 0.0000, 0.0000)  6 Sc 3.06, 6 Mg 3.23
Mg (0.6010, 0.1490, 0.1490)  2 Cd 2.85, 2 Sc 3.13
Mg (0.6010, 0.1490, 0.6010)  2 Cd 2.85, 2 Sc 3.13
Mg (0.6010, 0.6010, 0.1490)  2 Cd 2.85, 2 Sc 3.13
Mg (0.8510, 0.3990, 0.3990)  2 Cd 2.85, 2 Sc 3.13
Mg (0.8510, 0.3990, 0.8510)  2 Cd 2.85, 2 Sc 3.13
Mg (0.8510, 0.8510, 0.3990)  2 Cd 2.85, 2 Sc 3.13
Sc (0.1351, 0.7883, 0.7883)  9 Mg 3.06-3.35
Sc (0.2117, 0.2117, 0.2117)  9 Mg 3.06-3.35
Sc (0.2117, 0.2117, 0.8649)  9 Mg 3.06-3.35
Sc (0.2117, 0.8649, 0.2117)  9 Mg 3.06-3.35
Sc (0.7883, 0.1351, 0.7883)  9 Mg 3.06-3.35
Sc (0.7883, 0.7883, 0.1351)  9 Mg 3.06-3.35
Sc (0.7883, 0.7883, 0.7883)  9 Mg 3.06-3.35
Sc (0.8649, 0.2117, 0.2117)  9 Mg 3.06-3.35
Cd (0.0000, 0.5000, 0.5000)  6 Mg 2.85
Cd (0.5000, 0.0000, 0.5000)  6 Mg 2.85
Cd (0.5000, 0.5000, 0.0000)  6 Mg 2.85
Cd (0.5000, 0.5000, 0.5000)  6 Mg 2.85

Output
- electronic total energy (eV per atom) = -2.7931
- Fermi-level density of states (states/eV per cell) = 24.25
- energy relative to the elements (meV/atom) = 58


Entry 6:
Mg2ScCd6: optimized geometry, GGA-PBE.

Lattice parameters (Å, degrees): 9.2982 9.2982 4.9817 90.00 90.00 75.98
Closest atoms and distances in Å follow each position.
Element x y z (fractional)
Mg (0.0680, 0.2216, 0.2500)  4 Cd 2.86-3.12, 2 Mg 3.05
Mg (0.2216, 0.0680, 0.7500)  4 Cd 2.86-3.12, 2 Mg 3.05
Mg (0.7784, 0.9320, 0.2500)  4 Cd 2.86-3.12, 2 Mg 3.05
Mg (0.9320, 0.7784, 0.7500)  4 Cd 2.86-3.12, 2 Mg 3.05
Sc (0.3153, 0.6847, 0.7500)  12 Cd 3.05-3.24
Sc (0.6847, 0.3153, 0.2500)  12 Cd 3.05-3.24
Cd (0.0859, 0.7221, 0.2500)  3 Cd 2.81-2.90, 3 Mg 2.86-3.05
Cd (0.1296, 0.4556, 0.7500)  4 Cd 2.89-3.13, 1 Sc 3.05, 1 Mg 3.12
Cd (0.2779, 0.9141, 0.2500)  3 Cd 2.81-2.90, 3 Mg 2.86-3.05
Cd (0.3315, 0.4616, 0.2500)  7 Cd 2.90-3.13, 3 Sc 3.22-3.24
Cd (0.4556, 0.1296, 0.2500)  4 Cd 2.89-3.13, 1 Sc 3.05, 1 Mg 3.12
Cd (0.4616, 0.3315, 0.7500)  7 Cd 2.90-3.13, 3 Sc 3.22-3.24
Cd (0.5384, 0.6685, 0.2500)  7 Cd 2.90-3.13, 3 Sc 3.22-3.24
Cd (0.5444, 0.8704, 0.7500)  4 Cd 2.89-3.13, 1 Sc 3.05, 1 Mg 3.12
Cd (0.6685, 0.5384, 0.7500)  7 Cd 2.90-3.13, 3 Sc 3.22-3.24
Cd (0.7221, 0.0859, 0.7500)  3 Cd 2.81-2.90, 3 Mg 2.86-3.05
Cd (0.8704, 0.5444, 0.2500)  4 Cd 2.89-3.13, 1 Sc 3.05, 1 Mg 3.12
Cd (0.9141, 0.2779, 0.7500)  3 Cd 2.81-2.90, 3 Mg 2.86-3.05

Output
- electronic total energy (eV per atom) = -1.7280
- Fermi-level density of states (states/eV per cell) = 9.52
- energy relative to the elements (meV/atom) = -60


Entry 7:
Mg2Sc3Cd3: optimized geometry, GGA-PBE.

Lattice parameters (Å, degrees): 9.3004 9.3004 9.3004 152.96 151.11 39.98
Closest atoms and distances in Å follow each position.
Element x y z (fractional)
Mg (0.2465, 0.2465, 0.0000)  4 Cd 2.95-3.15, 4 Sc 3.16-3.18, 4 Mg 3.18
Mg (0.7535, 0.7535, 0.0000)  4 Cd 2.95-3.15, 4 Sc 3.16-3.18, 4 Mg 3.18
Sc (0.0000, 0.0000, 0.0000)  4 Sc 3.16, 8 Cd 3.17-3.18
Sc (0.3777, 0.8777, 0.5000)  6 Cd 3.05-3.18, 2 Sc 3.16, 4 Mg 3.16-3.18
Sc (0.6223, 0.1223, 0.5000)  6 Cd 3.05-3.18, 2 Sc 3.16, 4 Mg 3.16-3.18
Cd (0.1320, 0.6320, 0.5000)  4 Mg 2.95-3.15, 6 Sc 3.17-3.18, 2 Cd 3.27
Cd (0.5000, 0.5000, 0.0000)  8 Sc 3.05-3.18, 4 Cd 3.27
Cd (0.8680, 0.3680, 0.5000)  4 Mg 2.95-3.15, 6 Sc 3.17-3.18, 2 Cd 3.27

Output
- electronic total energy (eV per atom) = -3.2805
- Fermi-level density of states (states/eV per cell) = 6.40
- energy relative to the elements (meV/atom) = -164


Entry 8:
Mg5Sc2Cd12: optimized geometry, GGA-PBE.

Lattice parameters (Å, degrees): 9.7780 9.7780 5.2415 102.71 102.71 61.84
Closest atoms and distances in Å follow each position.
Element x y z (fractional)
Mg (0.0000, 0.0000, 0.0000)  6 Cd 2.90-2.97
Mg (0.2197, 0.2197, 0.0677)  7 Cd 2.96-3.13, 1 Mg 3.13
Mg (0.3504, 0.3504, 0.6153)  6 Cd 2.99-3.01, 1 Mg 3.13
Mg (0.6496, 0.6496, 0.3847)  6 Cd 2.99-3.01, 1 Mg 3.13
Mg (0.7803, 0.7803, 0.9323)  7 Cd 2.96-3.13, 1 Mg 3.13
Sc (0.2494, 0.7506, 0.5000)  10 Cd 3.03-3.22
Sc (0.7506, 0.2494, 0.5000)  10 Cd 3.03-3.22
Cd (0.0494, 0.5539, 0.3049)  6 Cd 2.95-3.22, 3 Mg 3.00-3.13, 1 Sc 3.22
Cd (0.1039, 0.1039, 0.5360)  2 Mg 2.90-2.96, 2 Cd 2.95, 2 Sc 3.03
Cd (0.1348, 0.6535, 0.8959)  4 Cd 2.95-3.18, 3 Mg 2.97-3.12, 2 Sc 3.06-3.21
Cd (0.3465, 0.8652, 0.1041)  4 Cd 2.95-3.18, 3 Mg 2.97-3.12, 2 Sc 3.06-3.21
Cd (0.4400, 0.4400, 0.1884)  2 Mg 2.99-3.00, 3 Cd 3.02-3.16, 2 Sc 3.03
Cd (0.4461, 0.9506, 0.6951)  6 Cd 2.95-3.22, 3 Mg 3.00-3.13, 1 Sc 3.22
Cd (0.5539, 0.0494, 0.3049)  6 Cd 2.95-3.22, 3 Mg 3.00-3.13, 1 Sc 3.22
Cd (0.5600, 0.5600, 0.8116)  2 Mg 2.99-3.00, 3 Cd 3.02-3.16, 2 Sc 3.03
Cd (0.6535, 0.1348, 0.8959)  4 Cd 2.95-3.18, 3 Mg 2.97-3.12, 2 Sc 3.06-3.21
Cd (0.8652, 0.3465, 0.1041)  4 Cd 2.95-3.18, 3 Mg 2.97-3.12, 2 Sc 3.06-3.21
Cd (0.8961, 0.8961, 0.4640)  2 Mg 2.90-2.96, 2 Cd 2.95, 2 Sc 3.03
Cd (0.9506, 0.4461, 0.6951)  6 Cd 2.95-3.22, 3 Mg 3.00-3.13, 1 Sc 3.22

Output
- electronic total energy (eV per atom) = -1.7474
- Fermi-level density of states (states/eV per cell) = 5.86
- energy relative to the elements (meV/atom) = -83


Entry 9:
MgSc5Cd: optimized geometry, GGA-PBE.

Lattice parameters (Å, degrees): 5.7590 5.7590 10.8992 102.25 102.25 96.04
Closest atoms and distances in Å follow each position.
Element x y z (fractional)
Mg (0.0000, 0.0000, 0.0000)  6 Sc 2.94-3.21
Mg (0.0000, 0.0000, 0.5000)  6 Sc 2.94-3.21
Sc (0.0006, 0.4121, 0.8426)  7 Sc 3.09-3.42, 2 Cd 3.11-3.19, 2 Mg 3.21-3.46
Sc (0.1294, 0.8706, 0.7500)  2 Mg 2.94, 1 Cd 3.02, 6 Sc 3.09-3.28
Sc (0.2407, 0.5303, 0.4672)  4 Sc 3.00-3.21, 2 Cd 3.10-3.12, 2 Mg 3.16-3.34
Sc (0.4121, 0.0006, 0.3426)  7 Sc 3.09-3.42, 2 Cd 3.11-3.19, 2 Mg 3.21-3.46
Sc (0.4697, 0.7593, 0.0328)  4 Sc 3.00-3.21, 2 Cd 3.10-3.12, 2 Mg 3.16-3.34
Sc (0.5303, 0.2407, 0.9672)  4 Sc 3.00-3.21, 2 Cd 3.10-3.12, 2 Mg 3.16-3.34
Sc (0.5879, 0.9994, 0.6574)  7 Sc 3.09-3.42, 2 Cd 3.11-3.19, 2 Mg 3.21-3.46
Sc (0.7593, 0.4697, 0.5328)  4 Sc 3.00-3.21, 2 Cd 3.10-3.12, 2 Mg 3.16-3.34
Sc (0.8706, 0.1294, 0.2500)  2 Mg 2.94, 1 Cd 3.02, 6 Sc 3.09-3.28
Sc (0.9994, 0.5879, 0.1574)  7 Sc 3.09-3.42, 2 Cd 3.11-3.19, 2 Mg 3.21-3.46
Cd (0.4825, 0.5175, 0.7500)  9 Sc 3.02-3.19
Cd (0.5175, 0.4825, 0.2500)  9 Sc 3.02-3.19

Output
- electronic total energy (eV per atom) = -4.7916
- Fermi-level density of states (states/eV per cell) = 22.27
- energy relative to the elements (meV/atom) = 90


Entry 10:
MgSc2Cd: optimized geometry, GGA-PBE.

Lattice parameters (Å, degrees): 6.0201 6.0201 5.1026 114.99 114.99 33.49
Closest atoms and distances in Å follow each position.
Element x y z (fractional)
Mg (0.0000, 0.0000, 0.0000)  2 Cd 2.89, 6 Sc 3.10-3.23
Sc (0.2368, 0.2368, 0.7352)  4 Cd 3.09, 2 Mg 3.23, 2 Sc 3.26
Sc (0.4705, 0.4705, 0.4704)  2 Cd 3.09, 4 Mg 3.10, 2 Sc 3.26
Cd (0.7239, 0.7239, 0.2221)  2 Mg 2.89, 6 Sc 3.09

Output
- electronic total energy (eV per atom) = -3.8954
- Fermi-level density of states (states/eV per cell) = 4.85
- energy relative to the elements (meV/atom) = -102


- Which formula does entry 6 have?
  Mg2ScCd6


Copy entry 8 word for word.
Mg5Sc2Cd12: optimized geometry, GGA-PBE.

Lattice parameters (Å, degrees): 9.7780 9.7780 5.2415 102.71 102.71 61.84
Closest atoms and distances in Å follow each position.
Element x y z (fractional)
Mg (0.0000, 0.0000, 0.0000)  6 Cd 2.90-2.97
Mg (0.2197, 0.2197, 0.0677)  7 Cd 2.96-3.13, 1 Mg 3.13
Mg (0.3504, 0.3504, 0.6153)  6 Cd 2.99-3.01, 1 Mg 3.13
Mg (0.6496, 0.6496, 0.3847)  6 Cd 2.99-3.01, 1 Mg 3.13
Mg (0.7803, 0.7803, 0.9323)  7 Cd 2.96-3.13, 1 Mg 3.13
Sc (0.2494, 0.7506, 0.5000)  10 Cd 3.03-3.22
Sc (0.7506, 0.2494, 0.5000)  10 Cd 3.03-3.22
Cd (0.0494, 0.5539, 0.3049)  6 Cd 2.95-3.22, 3 Mg 3.00-3.13, 1 Sc 3.22
Cd (0.1039, 0.1039, 0.5360)  2 Mg 2.90-2.96, 2 Cd 2.95, 2 Sc 3.03
Cd (0.1348, 0.6535, 0.8959)  4 Cd 2.95-3.18, 3 Mg 2.97-3.12, 2 Sc 3.06-3.21
Cd (0.3465, 0.8652, 0.1041)  4 Cd 2.95-3.18, 3 Mg 2.97-3.12, 2 Sc 3.06-3.21
Cd (0.4400, 0.4400, 0.1884)  2 Mg 2.99-3.00, 3 Cd 3.02-3.16, 2 Sc 3.03
Cd (0.4461, 0.9506, 0.6951)  6 Cd 2.95-3.22, 3 Mg 3.00-3.13, 1 Sc 3.22
Cd (0.5539, 0.0494, 0.3049)  6 Cd 2.95-3.22, 3 Mg 3.00-3.13, 1 Sc 3.22
Cd (0.5600, 0.5600, 0.8116)  2 Mg 2.99-3.00, 3 Cd 3.02-3.16, 2 Sc 3.03
Cd (0.6535, 0.1348, 0.8959)  4 Cd 2.95-3.18, 3 Mg 2.97-3.12, 2 Sc 3.06-3.21
Cd (0.8652, 0.3465, 0.1041)  4 Cd 2.95-3.18, 3 Mg 2.97-3.12, 2 Sc 3.06-3.21
Cd (0.8961, 0.8961, 0.4640)  2 Mg 2.90-2.96, 2 Cd 2.95, 2 Sc 3.03
Cd (0.9506, 0.4461, 0.6951)  6 Cd 2.95-3.22, 3 Mg 3.00-3.13, 1 Sc 3.22

Output
- electronic total energy (eV per atom) = -1.7474
- Fermi-level density of states (states/eV per cell) = 5.86
- energy relative to the elements (meV/atom) = -83


- Among the records above, which one has the lowest energy relative to the elements?
  Mg2Sc3Cd3


- The highest energy relative to the elements belongs to which entry?
  number 1